# TiIn2PbF8 GGA-PBE relaxed
data_TiIn2PbF8
_cell_length_a 4.9875
_cell_length_b 7.3045
_cell_length_c 6.4163
_cell_angle_alpha 90.00
_cell_angle_beta 92.51
_cell_angle_gamma 90.00
_space_group_name_H-M_alt 'P 1 2/m 1'
_space_group_IT_number 10
_space_group_name_Hall '-P 2y'
loop_
_atom_site_label
_atom_site_fract_x
_atom_site_fract_y
_atom_site_fract_z
Ti1 0.0000 0.0000 0.0000
In1 0.5000 0.2389 0.5000
Pb1 0.0000 0.5000 0.0000
F1 0.1360 0.1945 0.8301
F2 0.3107 0.0000 0.1692
F3 0.3598 0.5000 0.2665
# formation energy without anion corrections	-2.558	eV/atom